A plane-wave DFT calculation with PBE-GGA was carried out for Sr2IO after structural relaxation.

The structure in POSCAR format:
```
Sr2IO
1.0
9.0623 0.0000 0.0000
0.0000 7.4164 0.0000
-0.0605 0.0000 7.9953
Sr I O
8 4 4
Direct
0.0648 0.1256 0.2519
0.0648 0.3744 0.7519
0.2921 0.7465 0.5015
0.2921 0.7535 0.0015
0.7079 0.2465 0.9985
0.7079 0.2535 0.4985
0.9352 0.6256 0.2481
0.9352 0.8744 0.7481
0.3935 0.1188 0.7468
0.3935 0.3812 0.2468
0.6065 0.6188 0.7532
0.6065 0.8812 0.2532
0.1557 0.6809 0.7515
0.1557 0.8191 0.2515
0.8443 0.1809 0.7485
0.8443 0.3191 0.2485
```

A plane-wave DFT calculation with PBE-GGA was carried out for SrI2O after structural relaxation.

The structure in POSCAR format:
```
SrI2O
1.0
14.0000 0.0000 0.0000
0.0000 4.3977 0.0000
0.0000 0.0000 8.8684
Sr I O
4 8 4
Direct
0.1460 0.2500 0.1329
0.3540 0.7500 0.6329
0.6460 0.2500 0.3671
0.8540 0.7500 0.8671
0.1010 0.7500 0.8389
0.1321 0.7500 0.4695
0.3679 0.2500 0.9695
0.3990 0.2500 0.3389
0.6010 0.7500 0.6611
0.6321 0.7500 0.0305
0.8679 0.2500 0.5305
0.8990 0.2500 0.1611
0.1526 0.7500 0.2445
0.3474 0.2500 0.7445
0.6526 0.7500 0.2555
0.8474 0.2500 0.7555
```

A plane-wave DFT calculation with PBE-GGA was carried out for SrI2O6 after structural relaxation.

The structure in POSCAR format:
```
SrI2O6
1.0
2.9659 1.7124 6.1524
-2.9659 1.7124 6.1524
0.0000 -3.4248 6.1524
Sr I O
1 2 6
Direct
0.0000 0.0000 0.0000
0.5288 0.5288 0.5288
0.7878 0.7878 0.7878
0.0123 0.7633 0.4567
0.2634 0.6511 0.8011
0.4567 0.0123 0.7633
0.6511 0.8011 0.2634
0.7633 0.4567 0.0123
0.8011 0.2634 0.6511
```

A plane-wave DFT calculation with PBE-GGA was carried out for SrIO3 after structural relaxation.

The structure in POSCAR format:
```
SrIO3
1.0
4.6892 0.0000 0.0000
0.0000 4.6892 0.0000
0.0000 0.0000 4.6892
Sr I O
1 1 3
Direct
0.0000 0.0000 0.0000
0.5000 0.5000 0.5000
0.0000 0.0000 0.5000
0.0000 0.5000 0.0000
0.5000 0.0000 0.0000
```

A plane-wave DFT calculation with PBE-GGA was carried out for SrIO3 after structural relaxation.

The structure in POSCAR format:
```
SrIO3
1.0
4.3006 0.0000 0.0000
0.0000 4.3006 0.0000
0.0000 0.0000 4.3006
Sr I O
1 1 3
Direct
0.0000 0.0000 0.0000
0.5000 0.5000 0.5000
0.0000 0.5000 0.5000
0.5000 0.0000 0.5000
0.5000 0.5000 0.0000
```

A plane-wave DFT calculation with PBE-GGA was carried out for Sr2IO6 after structural relaxation.

The structure in POSCAR format:
```
Sr2IO6
1.0
-1.9476 2.9310 5.6096
1.9476 -2.9310 5.6096
1.9476 2.9310 -5.6096
Sr I O
2 1 6
Direct
0.1649 0.1649 0.0000
0.8351 0.8351 0.0000
0.5000 0.5000 0.0000
0.1481 0.3661 0.7820
0.3042 0.0000 0.3042
0.4159 0.6339 0.7820
0.5841 0.3661 0.2180
0.6958 0.0000 0.6958
0.8519 0.6339 0.2180
```

Taking the records one at a time from the top gives raw total energy values of -70.27 -61.38 -43.74 -18.43 -23.56 -45.30 eV for the cell shown.
Taking the records one at a time from the top gives size of the total moment values of 0.027 0.000 0.000 5.000 0.000 0.000 μB/cell.
Taking the records one at a time from the top gives D(E_F) values of 0.58 0.00 0.00 4.29 1.14 4.32 states/eV/f.u..